# 1
Here is a geometry-optimized K2RbZnO2 structure from Alexandria. Energies are from PBE.

- total DFT energy (no corrections) (Ry/atom) = -0.24982
- uncorrected formation energy (eV per atom) = -1.007
- D(E_F) (states/eV/cell) = 2.5

a = 6.1457 Å, b = 12.0716 Å, c = 4.3253 Å
α = 90.00°, β = 90.00°, γ = 90.00°
Closest atoms and distances in Å follow each position.
Fractional positions:
K 0.0422 0.2240 0.0000  3 O 2.73-2.88
K 0.4578 0.7240 0.5000  3 O 2.73-2.88
K 0.5422 0.2760 0.5000  3 O 2.73-2.88
K 0.9578 0.7760 0.0000  3 O 2.73-2.88
Rb 0.0000 0.5000 0.5000  4 O 3.14
Rb 0.5000 0.0000 0.0000  4 O 3.14
Zn 0.0000 0.0000 0.5000  2 O 1.83
Zn 0.5000 0.5000 0.0000  2 O 1.83
O 0.2010 0.1122 0.5000  1 Zn 1.83
O 0.2990 0.6122 0.0000  1 Zn 1.83
O 0.7010 0.3878 0.0000  1 Zn 1.83
O 0.7990 0.8878 0.5000  1 Zn 1.83

***

# 2
Here is a geometry-optimized K2Re2O structure from Alexandria. Energies are from PBE.

- total DFT energy (no corrections) (Ry/atom) = -0.41391
- uncorrected formation energy (eV per atom) = 0.778
- polymorph energy (0 for the lowest one) (eV/atom) = 0.000
- D(E_F) (states/eV/cell) = 5.8

a = 5.6349 Å, b = 5.6349 Å, c = 6.0392 Å
α = 90.00°, β = 90.00°, γ = 90.00°
Closest atoms and distances in Å follow each position.
Fractional positions:
K 0.1773 0.3227 0.0000  5 K 2.83-2.93
K 0.3227 0.8227 0.0000  5 K 2.83-2.93
K 0.6773 0.1773 0.0000  5 K 2.83-2.93
K 0.8227 0.6773 0.0000  5 K 2.83-2.93
Re 0.1618 0.6618 0.5000  2 O 2.11
Re 0.3382 0.1618 0.5000  2 O 2.11
Re 0.6618 0.8382 0.5000  2 O 2.11
Re 0.8382 0.3382 0.5000  2 O 2.11
O 0.0000 0.0000 0.5000  4 Re 2.11
O 0.5000 0.5000 0.5000  4 Re 2.11

***

# 3
Here is a geometry-optimized KReO2 structure from Alexandria. Energies are from PBE.

- total DFT energy (no corrections) (Ry/atom) = -0.40883
- uncorrected formation energy (eV per atom) = 0.303
- polymorph energy (0 for the lowest one) (eV/atom) = 1.379
- D(E_F) (states/eV/cell) = 6.1

a = 5.6961 Å, b = 5.6961 Å, c = 5.6961 Å
α = 90.00°, β = 90.00°, γ = 90.00°
Closest atoms and distances in Å follow each position.
Fractional positions:
K 0.0000 0.0000 0.0000  8 O 2.47
K 0.0000 0.5000 0.5000  8 O 2.47
K 0.5000 0.0000 0.5000  8 O 2.47
K 0.5000 0.5000 0.0000  8 O 2.47
Re 0.0000 0.0000 0.5000  8 O 2.47
Re 0.0000 0.5000 0.0000  8 O 2.47
Re 0.5000 0.0000 0.0000  8 O 2.47
Re 0.5000 0.5000 0.5000  8 O 2.47
O 0.2500 0.2500 0.2500  4 K 2.47, 4 Re 2.47
O 0.2500 0.2500 0.7500  4 K 2.47, 4 Re 2.47
O 0.2500 0.7500 0.2500  4 K 2.47, 4 Re 2.47
O 0.2500 0.7500 0.7500  4 K 2.47, 4 Re 2.47
O 0.7500 0.2500 0.2500  4 K 2.47, 4 Re 2.47
O 0.7500 0.2500 0.7500  4 K 2.47, 4 Re 2.47
O 0.7500 0.7500 0.2500  4 K 2.47, 4 Re 2.47
O 0.7500 0.7500 0.7500  4 Re 2.47, 4 K 2.47

***

# 4
Here is a geometry-optimized KRe3O structure from Alexandria. Energies are from PBE.

- total DFT energy (no corrections) (Ry/atom) = -0.52580
- uncorrected formation energy (eV per atom) = 1.526
- polymorph energy (0 for the lowest one) (eV/atom) = 0.000
- D(E_F) (states/eV/cell) = 7.7

a = 4.2809 Å, b = 4.2809 Å, c = 4.2809 Å
α = 90.00°, β = 90.00°, γ = 90.00°
Closest atoms and distances in Å follow each position.
Fractional positions:
K 0.0000 0.0000 0.0000  12 Re 3.03
Re 0.0000 0.5000 0.5000  2 O 2.14
Re 0.5000 0.0000 0.5000  2 O 2.14
Re 0.5000 0.5000 0.0000  2 O 2.14
O 0.5000 0.5000 0.5000  6 Re 2.14

***

# 5
Here is a geometry-optimized KReO4 structure from Alexandria. Energies are from PBE.

- total DFT energy (no corrections) (Ry/atom) = -0.54640
- uncorrected formation energy (eV per atom) = -1.871
- D(E_F) (states/eV/cell) = 0.0

a = 5.9125 Å, b = 5.9125 Å, c = 8.5654 Å
α = 90.00°, β = 90.00°, γ = 113.32°
Closest atoms and distances in Å follow each position.
Fractional positions:
K 0.0000 0.0000 0.0000  6 O 2.72-2.82
K 0.0000 0.0000 0.5000  6 O 2.72-2.82
Re 0.3672 0.6328 0.7500  4 O 1.75-1.76
Re 0.6328 0.3672 0.2500  4 O 1.75-1.76
O 0.2470 0.3082 0.7500  1 Re 1.76
O 0.2660 0.7340 0.5826  1 Re 1.75
O 0.2660 0.7340 0.9174  1 Re 1.75
O 0.3082 0.2470 0.2500  1 Re 1.76
O 0.6918 0.7530 0.7500  1 Re 1.76
O 0.7340 0.2660 0.0826  1 Re 1.75
O 0.7340 0.2660 0.4174  1 Re 1.75
O 0.7530 0.6918 0.2500  1 Re 1.76

***

# 6
Here is a geometry-optimized KRe2O structure from Alexandria. Energies are from PBE.

- total DFT energy (no corrections) (Ry/atom) = -0.49523
- uncorrected formation energy (eV per atom) = 1.000
- D(E_F) (states/eV/cell) = 4.5

a = 6.3362 Å, b = 6.3362 Å, c = 6.3362 Å
α = 60.00°, β = 60.00°, γ = 60.00°
Closest atoms and distances in Å follow each position.
Fractional positions:
K 0.1250 0.1250 0.1250  12 Re 3.71, 4 K 3.88, 4 O 3.88
K 0.8750 0.8750 0.8750  12 Re 3.71, 4 K 3.88, 4 O 3.88
Re 0.0000 0.5000 0.5000  2 O 1.94
Re 0.5000 0.0000 0.5000  2 O 1.94
Re 0.5000 0.5000 0.0000  2 O 1.94
Re 0.5000 0.5000 0.5000  2 O 1.94
O 0.3750 0.3750 0.3750  4 Re 1.94
O 0.6250 0.6250 0.6250  4 Re 1.94

***

# 7
Here is a geometry-optimized KReO3 structure from Alexandria. Energies are from PBE.

- total DFT energy (no corrections) (Ry/atom) = -0.28380
- uncorrected formation energy (eV per atom) = 1.823
- D(E_F) (states/eV/cell) = 6.4

a = 4.1674 Å, b = 4.1674 Å, c = 4.1674 Å
α = 90.00°, β = 90.00°, γ = 90.00°
Closest atoms and distances in Å follow each position.
Fractional positions:
K 0.0000 0.0000 0.0000  6 O 2.08
Re 0.5000 0.5000 0.5000  12 O 2.95
O 0.0000 0.0000 0.5000  2 K 2.08
O 0.0000 0.5000 0.0000  2 K 2.08
O 0.5000 0.0000 0.0000  2 K 2.08

***

# 8
Here is a geometry-optimized KReO3 structure from Alexandria. Energies are from PBE.

- total DFT energy (no corrections) (Ry/atom) = -0.54039
- uncorrected formation energy (eV per atom) = -1.668
- D(E_F) (states/eV/cell) = 1.7

a = 3.9095 Å, b = 3.9095 Å, c = 3.9095 Å
α = 90.00°, β = 90.00°, γ = 90.00°
Closest atoms and distances in Å follow each position.
Fractional positions:
K 0.0000 0.0000 0.0000  12 O 2.76
Re 0.5000 0.5000 0.5000  6 O 1.95
O 0.0000 0.5000 0.5000  2 Re 1.95
O 0.5000 0.0000 0.5000  2 Re 1.95
O 0.5000 0.5000 0.0000  2 Re 1.95

***

# 9
Here is a geometry-optimized KReO4 structure from Alexandria. Energies are from PBE.

- total DFT energy (no corrections) (Ry/atom) = -0.54647
- uncorrected formation energy (eV per atom) = -1.872
- D(E_F) (states/eV/cell) = 0.0

a = 7.7398 Å, b = 8.0586 Å, c = 9.6139 Å
α = 90.00°, β = 128.06°, γ = 90.00°
Closest atoms and distances in Å follow each position.
Fractional positions:
K 0.1750 0.1461 0.4025  7 O 2.78-3.08
K 0.1750 0.3539 0.9025  7 O 2.78-3.08
K 0.8250 0.6461 0.0975  7 O 2.78-3.08
K 0.8250 0.8539 0.5975  7 O 2.78-3.08
Re 0.3098 0.6592 0.6163  4 O 1.75-1.76
Re 0.3098 0.8408 0.1163  4 O 1.75-1.76
Re 0.6902 0.1592 0.8837  4 O 1.75-1.76
Re 0.6902 0.3408 0.3837  4 O 1.75-1.76
O 0.1392 0.6657 0.0199  1 Re 1.76
O 0.1392 0.8343 0.5199  1 Re 1.76
O 0.1962 0.0017 0.9593  1 Re 1.76
O 0.1962 0.4983 0.4593  1 Re 1.76
O 0.3294 0.5998 0.8010  1 Re 1.75
O 0.3294 0.9002 0.3010  1 Re 1.75
O 0.4247 0.2070 0.8097  1 Re 1.75
O 0.4247 0.2930 0.3097  1 Re 1.75
O 0.5753 0.7070 0.6903  1 Re 1.75
O 0.5753 0.7930 0.1903  1 Re 1.75
O 0.6706 0.0998 0.6990  1 Re 1.75
O 0.6706 0.4002 0.1990  1 Re 1.75
O 0.8038 0.5017 0.5407  1 Re 1.76
O 0.8038 0.9983 0.0407  1 Re 1.76
O 0.8608 0.1657 0.4801  1 Re 1.76
O 0.8608 0.3343 0.9801  1 Re 1.76

***

# 10
Here is a geometry-optimized KReO3 structure from Alexandria. Energies are from PBE.

- total DFT energy (no corrections) (Ry/atom) = -0.51703
- uncorrected formation energy (eV per atom) = -1.351
- D(E_F) (states/eV/cell) = 1.0

a = 6.8797 Å, b = 6.8797 Å, c = 6.8797 Å
α = 129.69°, β = 101.15°, γ = 99.67°
Closest atoms and distances in Å follow each position.
Fractional positions:
K 0.2065 0.0000 0.2065  6 O 2.99-3.15
K 0.7935 0.0000 0.7935  6 O 2.99-3.15
Re 0.3457 0.3457 0.0000  4 O 1.78-1.95
Re 0.6543 0.6543 0.0000  4 O 1.78-1.95
O 0.2187 0.4548 0.2362  1 Re 1.78
O 0.2187 0.9825 0.7638  1 Re 1.78
O 0.3405 0.5000 0.8405  2 Re 1.95
O 0.6595 0.5000 0.1595  2 Re 1.95
O 0.7813 0.0175 0.2362  1 Re 1.78
O 0.7813 0.5452 0.7638  1 Re 1.78

***

# 11
Here is a geometry-optimized K3ReO structure from Alexandria. Energies are from PBE.

- total DFT energy (no corrections) (Ry/atom) = -0.25819
- uncorrected formation energy (eV per atom) = 0.627
- polymorph energy (0 for the lowest one) (eV/atom) = 0.000
- D(E_F) (states/eV/cell) = 3.5

a = 5.3829 Å, b = 5.3829 Å, c = 5.3829 Å
α = 90.00°, β = 90.00°, γ = 90.00°
Closest atoms and distances in Å follow each position.
Fractional positions:
K 0.0000 0.0000 0.5000  2 O 2.69
K 0.0000 0.5000 0.0000  2 O 2.69
K 0.5000 0.0000 0.0000  2 O 2.69
Re 0.5000 0.5000 0.5000  12 K 3.81
O 0.0000 0.0000 0.0000  6 K 2.69

***

# 12
Here is a geometry-optimized K2Re2O structure from Alexandria. Energies are from PBE.

- total DFT energy (no corrections) (Ry/atom) = -0.39498
- uncorrected formation energy (eV per atom) = 1.036
- polymorph energy (0 for the lowest one) (eV/atom) = 0.258
- D(E_F) (states/eV/cell) = 13.4

a = 6.7370 Å, b = 6.7370 Å, c = 6.2092 Å
α = 90.00°, β = 90.00°, γ = 90.00°
Closest atoms and distances in Å follow each position.
Fractional positions:
K 0.0000 0.5000 0.2500  2 K 3.10, 4 Re 3.40
K 0.0000 0.5000 0.7500  2 K 3.10, 4 Re 3.40
K 0.5000 0.0000 0.2500  2 K 3.10, 4 Re 3.40
K 0.5000 0.0000 0.7500  2 K 3.10, 4 Re 3.40
Re 0.0000 0.0000 0.1813  1 O 1.98
Re 0.0000 0.0000 0.8187  1 O 1.98
Re 0.5000 0.5000 0.3187  1 O 1.98
Re 0.5000 0.5000 0.6813  1 O 1.98
O 0.0000 0.0000 0.5000  2 Re 1.98
O 0.5000 0.5000 0.0000  2 Re 1.98

***

D(E_F) of number 5 (KReO4)? 0.0 states/eV/cell

***

Repeat the fourth record exactly.
Here is a geometry-optimized KRe3O structure from Alexandria. Energies are from PBE.

- total DFT energy (no corrections) (Ry/atom) = -0.52580
- uncorrected formation energy (eV per atom) = 1.526
- polymorph energy (0 for the lowest one) (eV/atom) = 0.000
- D(E_F) (states/eV/cell) = 7.7

a = 4.2809 Å, b = 4.2809 Å, c = 4.2809 Å
α = 90.00°, β = 90.00°, γ = 90.00°
Closest atoms and distances in Å follow each position.
Fractional positions:
K 0.0000 0.0000 0.0000  12 Re 3.03
Re 0.0000 0.5000 0.5000  2 O 2.14
Re 0.5000 0.0000 0.5000  2 O 2.14
Re 0.5000 0.5000 0.0000  2 O 2.14
O 0.5000 0.5000 0.5000  6 Re 2.14